Entry 1:
The following is a DFT calculation (PBE) of a relaxed KSnAsSe2 crystal.

Properties
- Polymorph energy (0 for the lowest one): 1003 meV per atom
- Magnetic moment: 0.00 μB per cell
- Formation energy (no corrections): 0.933 eV per atom

```
KSnAsSe2
1.0
5.5900 0.0000 0.0000
0.0000 5.5900 0.0000
0.0000 0.0000 5.3144
Se As Sn K
2 1 1 1
Direct
0.0000 0.5000 0.0000
0.5000 0.0000 0.0000
0.0000 0.0000 0.5000
0.5000 0.5000 0.5000
0.0000 0.0000 0.0000
```

***

Entry 2:
The following is a DFT calculation (PBE) of a relaxed MgTa2Co crystal.

Properties
- Total DFT energy (no corrections): -7.87 eV/atom
- Magnetic moment: 0.01 μB per cell

```
MgTa2Co
1.0
4.1865 0.0000 0.0000
0.0000 2.8726 0.0197
0.0000 1.4602 5.4905
Ta Mg Co
2 1 1
Direct
0.5000 0.3314 0.2705
0.0000 0.0025 0.0046
0.5000 0.6716 0.7340
0.0000 0.4944 0.4909
```